CuTe2WN: relaxed, PBE.

Values from the calculation:
Excess energy over the best structure of this formula in the dataset ... 0 meV per atom
Crystal system ... tetragonal
ΔE_f (raw) ... 2.6 eV per formula unit
Total magnetization ... 0.000 μB per formula unit

abc: 5.4033 5.4033 3.8037
angles: 90.00 90.00 90.00
Positions (direct):
Cu (0.0000, 0.0000, 0.0000)
Te (0.0000, 0.5000, 0.5000)
Te (0.5000, 0.0000, 0.5000)
W (0.5000, 0.5000, 0.5000)
N (0.5000, 0.5000, 0.0000)